Entry 1:
# ZrS2IBr (PBE-GGA, relaxed)
# Raw total energy ... -5.07 eV per atom
data_ZrS2IBr
_chemical_formula_sum 'Zr2 S4 I2 Br2'
_cell_length_a 7.0065
_cell_length_b 7.1071
_cell_length_c 7.9224
_cell_angle_alpha 69.61
_cell_angle_beta 69.27
_cell_angle_gamma 61.34
_space_group_name_H-M_alt 'P -1'
_space_group_IT_number 2
_space_group_name_Hall '-P 1'
loop_
_atom_site_label
_atom_site_type_symbol
_atom_site_fract_x
_atom_site_fract_y
_atom_site_fract_z
_atom_site_occupancy
Zr1 Zr 0.2221 0.1316 0.9998 1
S1 S 0.4262 0.9525 0.2767 1
S2 S 0.4723 0.2287 0.1028 1
I1 I 0.1617 0.5862 0.7560 1
Br1 Br 0.0238 0.8336 0.2208 1

Entry 2:
# CsPd2F6 (PBE-GGA, relaxed)
# Raw total energy ... -4.06 eV per atom
data_CsPd2F6
_chemical_formula_sum 'Cs4 Pd8 F24'
_cell_length_a 6.9283
_cell_length_b 7.7203
_cell_length_c 10.2291
_cell_angle_alpha 90.00
_cell_angle_beta 90.00
_cell_angle_gamma 90.00
_space_group_name_H-M_alt 'P n m a'
_space_group_IT_number 62
_space_group_name_Hall '-P 2ac 2n'
loop_
_atom_site_label
_atom_site_type_symbol
_atom_site_fract_x
_atom_site_fract_y
_atom_site_fract_z
_atom_site_occupancy
Cs1 Cs 0.0215 0.2500 0.1270 1
Pd1 Pd 0.0000 0.0000 0.5000 1
Pd2 Pd 0.1661 0.2500 0.7544 1
F1 F 0.0873 0.7500 0.1546 1
F2 F 0.0933 0.2500 0.4738 1
F3 F 0.1300 0.5148 0.6720 1
F4 F 0.2503 0.0652 0.9123 1

Entry 3:
# KPaAgS3 (PBE-GGA, relaxed)
# Raw total energy ... -5.52 eV per atom
data_KPaAgS3
_chemical_formula_sum 'K4 Pa4 Ag4 S12'
_cell_length_a 4.1157
_cell_length_b 14.2812
_cell_length_c 10.5408
_cell_angle_alpha 90.00
_cell_angle_beta 90.00
_cell_angle_gamma 90.00
_space_group_name_H-M_alt 'C m c m'
_space_group_IT_number 63
_space_group_name_Hall '-C 2c 2'
loop_
_atom_site_label
_atom_site_type_symbol
_atom_site_fract_x
_atom_site_fract_y
_atom_site_fract_z
_atom_site_occupancy
K1 K 0.0000 0.2384 0.2500 1
Pa1 Pa 0.0000 0.5000 0.0000 1
Ag1 Ag 0.0000 0.0481 0.7500 1
S1 S 0.0000 0.1252 0.5382 1
S2 S 0.0000 0.4383 0.7500 1

Entry 4:
# PrB2BrO4 (PBE-GGA, relaxed)
# Raw total energy ... -7.54 eV per atom
data_PrB2BrO4
_chemical_formula_sum 'Pr2 B4 Br2 O8'
_cell_length_a 4.2168
_cell_length_b 6.5904
_cell_length_c 8.1798
_cell_angle_alpha 82.17
_cell_angle_beta 89.08
_cell_angle_gamma 71.96
_space_group_name_H-M_alt 'P -1'
_space_group_IT_number 2
_space_group_name_Hall '-P 1'
loop_
_atom_site_label
_atom_site_type_symbol
_atom_site_fract_x
_atom_site_fract_y
_atom_site_fract_z
_atom_site_occupancy
Pr1 Pr 0.2159 0.0307 0.2159 1
B1 B 0.1690 0.3493 0.8549 1
B2 B 0.4354 0.4360 0.1900 1
Br1 Br 0.1386 0.2179 0.5395 1
O1 O 0.0959 0.4622 0.1714 1
O2 O 0.1650 0.1510 0.9210 1
O3 O 0.3651 0.7662 0.7936 1
O4 O 0.4840 0.3730 0.8218 1

Entry 5:
# Al2W8C3N3 (PBE-GGA, relaxed)
# Raw total energy ... -10.05 eV per atom
data_Al2W8C3N3
_chemical_formula_sum 'Al2 W8 C3 N3'
_cell_length_a 2.9082
_cell_length_b 2.9082
_cell_length_c 25.7274
_cell_angle_alpha 90.00
_cell_angle_beta 90.00
_cell_angle_gamma 120.00
_space_group_name_H-M_alt 'P -3 m 1'
_space_group_IT_number 164
_space_group_name_Hall '-P 3 2"'
loop_
_atom_site_label
_atom_site_type_symbol
_atom_site_fract_x
_atom_site_fract_y
_atom_site_fract_z
_atom_site_occupancy
Al1 Al 0.3333 0.6667 0.2457 1
W1 W 0.0000 0.0000 0.1593 1
W2 W 0.0000 0.0000 0.3313 1
W3 W 0.3333 0.6667 0.0540 1
W4 W 0.3333 0.6667 0.4429 1
C1 C 0.0000 0.0000 0.0000 1
C2 C 0.3333 0.6667 0.8913 1
N1 N 0.0000 0.0000 0.5000 1
N2 N 0.3333 0.6667 0.6152 1

Entry 6:
# GdBeTl (PBE-GGA, relaxed)
# Raw total energy ... -3.35 eV per atom
data_GdBeTl
_chemical_formula_sum 'Gd4 Be4 Tl4'
_cell_length_a 6.6796
_cell_length_b 6.6796
_cell_length_c 6.6796
_cell_angle_alpha 90.00
_cell_angle_beta 90.00
_cell_angle_gamma 90.00
_space_group_name_H-M_alt 'F -4 3 m'
_space_group_IT_number 216
_space_group_name_Hall 'F -4 2 3'
loop_
_atom_site_label
_atom_site_type_symbol
_atom_site_fract_x
_atom_site_fract_y
_atom_site_fract_z
_atom_site_occupancy
Gd1 Gd 0.0000 0.0000 0.0000 1
Be1 Be 0.0000 0.0000 0.5000 1
Tl1 Tl 0.2500 0.2500 0.7500 1